1.
DFT (GGA-PBE) results for an optimized crystal structure of Dy6Se5.

abc: 7.0089 6.9710 6.9844
angles: 80.29 70.41 59.82
Atoms (fractional coordinates):
1 Se 0.3358 0.3285 0.0000
2 Se 0.1722 0.6555 0.5000
3 Se 0.5000 0.0000 0.5000
4 Se 0.6642 0.6715 0.0000
5 Se 0.8278 0.3445 0.5000
6 Dy 0.9209 0.6697 0.2445
7 Dy 0.0791 0.3303 0.7555
8 Dy 0.4094 0.6697 0.7555
9 Dy 0.7550 0.0000 0.7452
10 Dy 0.2450 0.0000 0.2548
11 Dy 0.5906 0.3303 0.2445

N(E_F), states/eV per atom: 0.513
Calculated total energy, eV/f.u.: -62.34

---

2.
DFT (GGA-PBE) results for an optimized crystal structure of Dy4Se3.

abc: 3.9632 3.9632 13.4413
angles: 81.52 81.52 60.00
Atoms (fractional coordinates):
1 Dy 0.1309 0.1309 0.6073
2 Dy 0.3788 0.3788 0.8635
3 Dy 0.6212 0.6212 0.1365
4 Dy 0.8691 0.8691 0.3927
5 Se 0.0000 0.0000 0.0000
6 Se 0.7538 0.7538 0.7386
7 Se 0.2462 0.2462 0.2614

N(E_F), states/eV per atom: 0.411
Calculated total energy, eV/f.u.: -39.16

---

3.
DFT (GGA-PBE) results for an optimized crystal structure of DySe.

abc: 4.0751 4.0751 4.0751
angles: 60.00 60.00 60.00
Atoms (fractional coordinates):
1 Se 0.5000 0.5000 0.5000
2 Dy 0.0000 0.0000 0.0000

N(E_F), states/eV per atom: 0.658
Calculated total energy, eV/f.u.: -11.57

---

4.
DFT (GGA-PBE) results for an optimized crystal structure of Dy3Se.

abc: 3.6794 6.3840 6.0434
angles: 121.88 107.72 90.00
Atoms (fractional coordinates):
1 Dy 0.6947 0.0364 0.3895
2 Dy 0.3053 0.6469 0.6105
3 Dy 0.5000 0.4115 0.0000
4 Se 0.0000 0.0720 0.0000

N(E_F), states/eV per atom: 1.170
Energy relative to the lowest polymorph listed for this composition, meV per atom: 0
Calculated total energy, eV/f.u.: -20.07

---

5.
DFT (GGA-PBE) results for an optimized crystal structure of Dy3SiSe6.

abc: 6.7932 8.8987 8.8987
angles: 102.28 90.00 90.00
Atoms (fractional coordinates):
1 Se 0.2008 0.0996 0.5661
2 Se 0.6851 0.3035 0.3721
3 Se 0.7008 0.5661 0.0996
4 Se 0.6676 0.2162 0.7838
5 Se 0.1676 0.7838 0.2162
6 Se 0.7008 0.9004 0.4339
7 Se 0.1644 0.0415 0.9585
8 Se 0.1851 0.3721 0.3035
9 Se 0.6851 0.6279 0.6965
10 Se 0.1851 0.6965 0.6279
11 Se 0.6644 0.9585 0.0415
12 Se 0.2008 0.4339 0.9004
13 Dy 0.9835 0.0857 0.2797
14 Dy 0.4835 0.2797 0.0857
15 Dy 0.8872 0.5959 0.4041
16 Dy 0.3872 0.4041 0.5959
17 Dy 0.9835 0.7203 0.9143
18 Dy 0.4835 0.9143 0.7203
19 Si 0.5275 0.7971 0.2029
20 Si 0.0275 0.2029 0.7971

N(E_F), states/eV per atom: 0.320
Calculated total energy, eV/f.u.: -54.17

---

6.
DFT (GGA-PBE) results for an optimized crystal structure of DySiSe3.

abc: 6.7884 7.5129 9.6789
angles: 90.00 92.86 90.00
Atoms (fractional coordinates):
1 Se 0.6524 0.8262 0.0708
2 Se 0.1521 0.9728 0.2314
3 Se 0.3479 0.4728 0.2686
4 Se 0.1524 0.6738 0.5708
5 Se 0.8476 0.3262 0.4292
6 Se 0.6521 0.5272 0.7314
7 Se 0.8476 0.3075 0.0686
8 Se 0.8479 0.0272 0.7686
9 Se 0.3476 0.1738 0.9292
10 Se 0.1524 0.6925 0.9314
11 Se 0.3476 0.1925 0.5686
12 Se 0.6524 0.8075 0.4314
13 Si 0.9209 0.8979 0.5645
14 Si 0.0791 0.1021 0.4355
15 Si 0.5791 0.3979 0.9355
16 Si 0.4209 0.6021 0.0645
17 Dy 0.5454 0.1254 0.2503
18 Dy 0.0454 0.3746 0.7503
19 Dy 0.9546 0.6254 0.2497
20 Dy 0.4546 0.8746 0.7497

N(E_F), states/eV per atom: 0.000
Energy relative to the lowest polymorph listed for this composition, meV per atom: 0
Calculated total energy, eV/f.u.: -26.04

---

Repeat the fifth record exactly.
DFT (GGA-PBE) results for an optimized crystal structure of Dy3SiSe6.

abc: 6.7932 8.8987 8.8987
angles: 102.28 90.00 90.00
Atoms (fractional coordinates):
1 Se 0.2008 0.0996 0.5661
2 Se 0.6851 0.3035 0.3721
3 Se 0.7008 0.5661 0.0996
4 Se 0.6676 0.2162 0.7838
5 Se 0.1676 0.7838 0.2162
6 Se 0.7008 0.9004 0.4339
7 Se 0.1644 0.0415 0.9585
8 Se 0.1851 0.3721 0.3035
9 Se 0.6851 0.6279 0.6965
10 Se 0.1851 0.6965 0.6279
11 Se 0.6644 0.9585 0.0415
12 Se 0.2008 0.4339 0.9004
13 Dy 0.9835 0.0857 0.2797
14 Dy 0.4835 0.2797 0.0857
15 Dy 0.8872 0.5959 0.4041
16 Dy 0.3872 0.4041 0.5959
17 Dy 0.9835 0.7203 0.9143
18 Dy 0.4835 0.9143 0.7203
19 Si 0.5275 0.7971 0.2029
20 Si 0.0275 0.2029 0.7971

N(E_F), states/eV per atom: 0.320
Calculated total energy, eV/f.u.: -54.17

---

Question: Which of these has the highest N(E_F)?
Answer: Dy3Se

---

Question: N(E_F) of number 5 (Dy3SiSe6)?
Answer: 0.320 states/eV per atom

---

Question: What is the N(E_F) in the sixth record?
Answer: 0.000 states/eV per atom